No. 1
Compound: La2Zn5Pt3
Source: the Alexandria database
Functional: GGA-PBE
Structure: optimized geometry

a b c (Å): 4.060 4.060 12.035
angles (deg): 90.00 90.00 90.00
Space group P-4m2 (No. 115)
One atom of each set of equivalent atoms:
La  0.000  0.500  0.236 (multiplicity 2)
Zn  0.000  0.000  0.500 (multiplicity 1)
Zn  0.000  0.500  0.634 (multiplicity 2)
Zn  0.500  0.500  0.000 (multiplicity 1)
Zn  0.500  0.500  0.500 (multiplicity 1)
Pt  0.000  0.000  0.000 (multiplicity 1)
Pt  0.000  0.500  0.845 (multiplicity 2)

Formation energy from the elements   -0.61 eV per atom
Polymorph energy (0 for the lowest one)   0.100 eV/atom

No. 2
Compound: TlBi2P
Source: the Alexandria database
Functional: GGA-PBE
Structure: optimized geometry

a b c (Å): 7.538 7.538 7.538
angles (deg): 90.00 90.00 90.00
Space group Fm-3m (No. 225)
One atom of each set of equivalent atoms:
Tl  0.000  0.000  0.000 (multiplicity 4)
Bi  0.250  0.250  0.250 (multiplicity 8)
P  0.000  0.000  0.500 (multiplicity 4)

Formation energy from the elements   0.39 eV per atom
Polymorph energy (0 for the lowest one)   0.242 eV/atom

No. 3
Compound: Hf3ZrNp4P8
Source: the Alexandria database
Functional: GGA-PBE
Structure: optimized geometry

a b c (Å): 7.6454 7.6454 18.7267
angles (deg): 90.00 90.00 120.00
Space group R-3m (No. 166, hexagonal axes)
One atom of each set of equivalent atoms:
Hf  0.0000  0.5000  0.0000 (multiplicity 9)
Zr  0.0000  0.0000  0.0000 (multiplicity 3)
Np  0.0000  0.0000  0.5000 (multiplicity 3)
Np  0.0000  0.5000  0.5000 (multiplicity 9)
P  0.0000  0.0000  0.2549 (multiplicity 6)
P  0.0021  0.5010  0.2542 (multiplicity 18)

Formation energy from the elements   -1.14 eV per atom

No. 4
Compound: U2Tl2CrSe6
Source: the Alexandria database
Functional: GGA-PBE
Structure: optimized geometry

a b c (Å): 6.956 12.003 8.250
angles (deg): 90.00 106.71 90.00
Space group C2/m (No. 12)
One atom of each set of equivalent atoms:
U  0.000  0.168  0.000 (multiplicity 4)
Tl  0.000  0.330  0.500 (multiplicity 4)
Cr  0.000  0.500  0.000 (multiplicity 2)
Se  0.230  0.340  0.199 (multiplicity 8)
Se  0.245  0.500  0.808 (multiplicity 4)

Formation energy without anion corrections   -809 meV/atom